A geometry-optimized Y3Er2ThBi6 structure. Source: Alexandria via LeMat-Bulk, functional GGA-PBE. Values from VASP.

The structure in Quantum ESPRESSO input format:
```
&SYSTEM
  ibrav = 0, nat = 12, ntyp = 4
/
ATOMIC_SPECIES
Bi 208.98 Bi.upf
Y 88.91 Y.upf
Th 232.04 Th.upf
Er 167.26 Er.upf
CELL_PARAMETERS angstrom
7.7786 0.0012 -0.0013
-3.8863 6.7382 -0.0013
-1.3000 -2.2509 7.3400
ATOMIC_POSITIONS crystal
Bi 0.0842 0.4233 0.2519
Bi 0.9158 0.5767 0.7481
Bi 0.5767 0.9158 0.7481
Bi 0.4233 0.0842 0.2519
Bi 0.7432 0.7432 0.2485
Bi 0.2568 0.2568 0.7515
Y 0.8361 0.1639 0.5000
Y 0.5000 0.5000 0.5000
Y 0.1639 0.8361 0.5000
Th 0.0000 0.0000 0.0000
Er 0.6675 0.3325 0.0000
Er 0.3325 0.6675 0.0000
```

Final energy in eV per atom: -5.7542